No. 1
{
  "formula": "CaSc2In",
  "functional": "PBE-GGA",
  "state": "relaxed",
  "space_group": "I4/mmm (139)",
  "formation_enthalpy_0k_ev_per_atom": -0.0884,
  "final_energy_ev_per_cell": -17.757,
  "total_magnetization_mub_per_cell": 0.8,
  "lattice_angstrom": [[5.5697, -0.0405, 0.0000], [1.4220, 5.3853, 0.0000], [-3.4959, -2.6724, 3.4148]],
  "species": ["Sc", "Sc", "In", "Ca"],
  "fractional_positions": [[0.5000, 0.5000, 0.0000], [0.0000, 0.0000, 0.0000], [0.7500, 0.2500, 0.5000], [0.2500, 0.7500, 0.5000]]
}


No. 2
{
  "formula": "CaScIn2",
  "functional": "PBE-GGA",
  "state": "relaxed",
  "space_group": "I-42d (122)",
  "formation_enthalpy_0k_ev_per_atom": -0.0362,
  "final_energy_ev_per_cell": -27.910,
  "total_magnetization_mub_per_cell": 0.0,
  "lattice_angstrom": [[-8.0810, -1.0350, -1.0972], [1.4253, -7.1964, -3.7092], [-3.5311, -5.6958, 0.5844]],
  "species": ["Ca", "Sc", "Ca", "In", "Sc", "In", "In", "In"],
  "fractional_positions": [[0.2500, 0.7500, 0.5000], [0.0000, 0.0000, 0.0000], [0.5000, 0.5000, 0.0000], [0.1066, 0.6250, 0.2500], [0.7500, 0.2500, 0.5000], [0.8750, 0.8934, 0.7500], [0.6434, 0.1250, 0.2500], [0.3750, 0.3566, 0.7500]]
}